Entry 1:
# Mg30VFeO32

Mg30VFeO32 after structural relaxation (PBEsol, Alexandria via LeMat-Bulk). Values from VASP.

Structure (Quantum ESPRESSO input):
```
&SYSTEM
  ibrav = 0, nat = 64, ntyp = 4
/
ATOMIC_SPECIES
Mg 24.30 Mg.upf
O 16.00 O.upf
Fe 55.84 Fe.upf
V 50.94 V.upf
CELL_PARAMETERS angstrom
8.422 0.000 0.000
0.000 8.422 0.000
0.000 0.000 8.423
ATOMIC_POSITIONS angstrom
Mg 6.332 0.000 6.334
Mg 6.318 2.104 4.212
Mg 4.211 0.000 0.000
Mg 6.332 0.000 2.089
Mg 2.089 6.333 0.000
Mg 2.104 6.318 4.212
Mg 0.000 2.090 2.089
Mg 4.211 6.319 6.320
Mg 0.000 6.332 2.089
Mg 6.319 4.211 6.320
Mg 0.000 6.332 6.334
Mg 6.319 4.211 2.103
Mg 6.333 2.089 0.000
Mg 2.090 0.000 2.089
Mg 2.104 2.104 4.212
Mg 4.211 6.319 2.103
Mg 0.000 2.090 6.334
Mg 0.000 4.211 4.212
Mg 2.089 2.089 0.000
Mg 2.103 4.211 6.320
Mg 2.090 0.000 6.334
Mg 6.333 6.333 0.000
Mg 4.211 4.211 0.000
Mg 2.103 4.211 2.103
Mg 4.211 2.103 6.320
Mg 0.000 4.211 0.000
Mg 4.211 0.000 4.212
Mg 4.211 4.211 4.212
Mg 6.318 6.318 4.212
Mg 4.211 2.103 2.103
O 6.324 4.211 0.000
O 6.320 2.102 2.105
O 6.317 4.211 4.212
O 0.000 6.300 4.212
O 6.339 0.000 0.000
O 6.300 0.000 4.212
O 6.320 6.320 6.318
O 0.000 0.000 2.097
O 6.320 2.102 6.318
O 4.211 4.211 6.319
O 4.211 0.000 6.326
O 2.102 6.320 6.318
O 2.098 4.211 0.000
O 4.211 2.098 0.000
O 2.102 2.102 6.318
O 2.122 0.000 4.212
O 0.000 4.211 6.326
O 4.211 2.105 4.212
O 0.000 0.000 6.326
O 2.102 6.320 2.105
O 0.000 6.339 0.000
O 2.105 4.211 4.212
O 0.000 4.211 2.098
O 6.320 6.320 2.105
O 4.211 6.324 0.000
O 0.000 2.122 4.212
O 4.211 4.211 2.104
O 4.211 0.000 2.098
O 2.102 2.102 2.105
O 4.211 6.317 4.212
O 0.000 2.083 0.000
O 2.083 0.000 0.000
Fe 0.000 0.000 0.000
V 0.000 0.000 4.212
```

Raw formation energy   -2630 meV/atom
Density   3746 kg/m³
Symmetry   P4/mmm (123)

=====

Entry 2:
# MnWBr2

MnWBr2 after structural relaxation (PBEsol, Alexandria via LeMat-Bulk). Values from VASP.

Structure (Quantum ESPRESSO input):
```
&SYSTEM
  ibrav = 0, nat = 4, ntyp = 3
/
ATOMIC_SPECIES
Br 79.90 Br.upf
Mn 54.94 Mn.upf
W 183.84 W.upf
CELL_PARAMETERS angstrom
-2.035 1.201 -2.146
-1.425 -4.217 -1.009
-3.217 0.308 3.223
ATOMIC_POSITIONS angstrom
Br -0.712 -2.109 -0.505
Br -1.608 0.154 1.612
Mn -1.018 0.601 -1.073
W -3.339 -1.354 0.034
```

Raw formation energy   1047 meV/atom
Energy relative to the lowest polymorph listed for this composition   845 meV/atom
Density   9952 kg/m³
Symmetry   Cmmm (65)

=====

Entry 3:
# ZrZnRh2

ZrZnRh2 after structural relaxation (PBEsol, Alexandria via LeMat-Bulk). Values from VASP.

Structure (Quantum ESPRESSO input):
```
&SYSTEM
  ibrav = 0, nat = 4, ntyp = 3
/
ATOMIC_SPECIES
Zn 65.41 Zn.upf
Zr 91.22 Zr.upf
Rh 102.91 Rh.upf
CELL_PARAMETERS angstrom
-0.346 0.883 -3.618
1.617 -3.237 -0.945
-4.461 -0.706 2.188
ATOMIC_POSITIONS angstrom
Zn -1.105 -2.560 -0.519
Zr 0.000 0.000 0.000
Rh 0.635 -1.177 -2.281
Rh -2.086 -0.500 -1.856
```

DFT formation energy   -661 meV/atom
Density   10088 kg/m³
Symmetry   I-4m2 (119)

=====

Entry 4:
# Cd2Rh

Cd2Rh after structural relaxation (PBEsol, Alexandria via LeMat-Bulk). Values from VASP.

Structure (Quantum ESPRESSO input):
```
&SYSTEM
  ibrav = 0, nat = 9, ntyp = 2
/
ATOMIC_SPECIES
Cd 112.41 Cd.upf
Rh 102.91 Rh.upf
CELL_PARAMETERS angstrom
-1.024 2.841 0.071
-4.871 -1.612 -5.761
-2.225 -0.983 7.322
ATOMIC_POSITIONS angstrom
Cd -5.021 -1.837 1.104
Cd -1.424 -0.471 -1.685
Cd -3.542 0.418 -3.549
Cd -0.650 -0.288 2.141
Cd -1.896 0.809 4.590
Cd -3.194 0.440 0.625
Rh -3.107 -1.193 2.961
Rh -3.989 -1.403 -1.400
Rh -0.512 1.421 0.035
```

DFT formation energy   -51 meV/atom
Density   10484 kg/m³
Symmetry   P-62m (189)

=====

Entry 5:
# LiZr3Tc

LiZr3Tc after structural relaxation (PBEsol, Alexandria via LeMat-Bulk). Values from VASP.

Structure (Quantum ESPRESSO input):
```
&SYSTEM
  ibrav = 0, nat = 5, ntyp = 3
/
ATOMIC_SPECIES
Zr 91.22 Zr.upf
Tc 98.00 Tc.upf
Li 6.94 Li.upf
CELL_PARAMETERS angstrom
5.012 0.000 0.000
0.000 5.012 0.000
0.000 0.000 5.012
ATOMIC_POSITIONS angstrom
Zr 2.506 0.000 0.000
Zr 0.000 2.506 0.000
Zr 0.000 0.000 2.506
Tc 0.000 0.000 0.000
Li 2.506 2.506 2.506
```

DFT formation energy   518 meV/atom
Density   4994 kg/m³
Symmetry   Pm-3m (221)

=====

Entry 6:
# KIr2Se2

KIr2Se2 after structural relaxation (PBEsol, Alexandria via LeMat-Bulk). Values from VASP.

Structure (Quantum ESPRESSO input):
```
&SYSTEM
  ibrav = 0, nat = 5, ntyp = 3
/
ATOMIC_SPECIES
K 39.10 K.upf
Se 78.96 Se.upf
Ir 192.22 Ir.upf
CELL_PARAMETERS angstrom
-1.263 -0.554 -3.733
2.616 -2.966 -0.445
-5.192 -2.548 4.256
ATOMIC_POSITIONS angstrom
K 0.000 0.000 0.000
Se -0.568 -2.947 -1.492
Se -3.271 -3.121 1.569
Ir -0.949 -3.637 0.861
Ir -2.889 -2.431 -0.783
```

Raw formation energy   -156 meV/atom
Density   9229 kg/m³
Symmetry   I4/mmm (139)